# RbScW2O8

Crystalline RbScW2O8 at its relaxed geometry (PBE+U, Alexandria).

Unit cell a=7.6047 b=7.6047 c=7.4086 alpha=119.02 beta=119.02 gamma=85.43
Sites, in units of the cell vectors:
Rb  0.2021  0.7979  0.7500
Rb  0.7979  0.2021  0.2500
Sc  0.2203  0.7797  0.2500
Sc  0.7797  0.2203  0.7500
W  0.3033  0.3047  0.3027
W  0.3047  0.3033  0.8027
W  0.6953  0.6967  0.1973
W  0.6967  0.6953  0.6973
O  0.0370  0.2866  0.7341
O  0.0376  0.2987  0.0940
O  0.2481  0.3790  0.5636
O  0.2866  0.0370  0.2341
O  0.2987  0.0376  0.5940
O  0.3790  0.2481  0.0636
O  0.3830  0.6146  0.0593
O  0.3854  0.6170  0.4407
O  0.6146  0.3830  0.5593
O  0.6170  0.3854  0.9407
O  0.6210  0.7519  0.9364
O  0.7013  0.9624  0.4060
O  0.7134  0.9630  0.7659
O  0.7519  0.6210  0.4364
O  0.9624  0.7013  0.9060
O  0.9630  0.7134  0.2659

Computed properties:
The total energy is -7.48 eV per atom. As for the total magnetization: 0.00 μB/cell. The symmetry is C2/c (15). As for the density: 6.5 g/cm³.